# 1
La2CrSb: optimized geometry, PBE-GGA.

Cell: 4.5867 4.3665 6.3789 Å, 70.00 90.00 90.00°
Closest atoms and distances in Å follow each position.
Fractional coordinates of all 4 atoms:
1 Cr 0.5000 0.5509 0.7740  2 Sb 2.88
2 La 0.0000 0.9835 0.9084  4 Cr 3.27, 3 Sb 3.36-3.44
3 La 0.5000 0.2696 0.3352  4 Sb 3.29, 3 Cr 3.36-3.42
4 Sb 0.0000 0.6960 0.4824  2 Cr 2.88

Values from the calculation:
The calculated volume is 30.0 A^3/atom. Its density is 6.2 g/cm³. The calculation puts the raw formation energy at -0.39 eV/atom. The symmetry is Amm2.

***

# 2
LaCrSb: optimized geometry, PBE-GGA.

Cell: 4.6709 4.6709 4.2669 Å, 90.00 90.00 120.00°
Closest atoms and distances in Å follow each position.
Fractional coordinates of all 3 atoms:
1 Cr 0.0000 0.0000 0.8317  3 Sb 2.70
2 La 0.6667 0.3333 0.3337  6 Cr 3.43-3.44, 6 Sb 3.44
3 Sb 0.3333 0.6667 0.8347  3 Cr 2.70

Values from the calculation:
The calculated volume is 26.9 A^3/atom. Its density is 6.4 g/cm³. The calculation puts the raw formation energy at -0.41 eV/atom. The symmetry is P3m1.

***

# 3
La4CrSb: optimized geometry, PBE-GGA.

Cell: 6.4510 6.4510 6.4510 Å, 60.00 60.00 60.00°
Closest atoms and distances in Å follow each position.
Fractional coordinates of all 6 atoms:
1 Sb 0.7500 0.7500 0.7500  12 La 3.78, 4 Cr 3.95
2 La 0.3762 0.3762 0.8715  6 La 3.20-3.26
3 Cr 0.0000 0.0000 0.0000  12 La 3.79, 4 Sb 3.95
4 La 0.3762 0.3762 0.3762  6 La 3.20-3.26
5 La 0.3762 0.8715 0.3762  6 La 3.20-3.26
6 La 0.8715 0.3762 0.3762  6 La 3.20-3.26

Values from the calculation:
The calculated volume is 31.6 A^3/atom. Its density is 6.4 g/cm³. The calculation puts the raw formation energy at 0.35 eV/atom. The symmetry is F-43m.